(1)
Ba8Ta7O24: optimized geometry, PBEsol.

Cell and atoms, written as CIF:
```
data_Ba8Ta7O24
_chemical_formula_sum 'Ba8 Ta7 O24'
_symmetry_space_group_name_H-M 'P 3 m 1'
_symmetry_Int_Tables_number 156
_cell_length_a 5.8316
_cell_length_b 5.8316
_cell_length_c 18.9725
_cell_angle_alpha 90.00
_cell_angle_beta 90.00
_cell_angle_gamma 120.00
loop_
_symmetry_equiv_pos_as_xyz
'x,y,z'
'-y,x-y,z'
'-x+y,-x,z'
'-y,-x,z'
'-x+y,y,z'
'x,x-y,z'
loop_
_atom_site_label
_atom_site_type_symbol
_atom_site_fract_x
_atom_site_fract_y
_atom_site_fract_z
Ba1 Ba 0.0000 0.0000 0.0000
Ba2 Ba 0.0000 0.0000 0.2202
Ba3 Ba 0.0000 0.0000 0.6008
Ba4 Ba 0.3333 0.6667 0.3492
Ba5 Ba 0.3333 0.6667 0.8653
Ba6 Ba 0.6667 0.3333 0.0948
Ba7 Ba 0.6667 0.3333 0.4856
Ba8 Ba 0.6667 0.3333 0.7175
Ta1 Ta 0.0000 0.0000 0.4128
Ta2 Ta 0.0000 0.0000 0.7900
Ta3 Ta 0.3333 0.6667 0.1582
Ta4 Ta 0.3333 0.6667 0.5315
Ta5 Ta 0.3333 0.6667 0.6675
Ta6 Ta 0.6667 0.3333 0.2901
Ta7 Ta 0.6667 0.3333 0.9155
O1 O 0.0113 0.5056 0.6001
O2 O 0.1631 0.3261 0.7231
O3 O 0.1645 0.3290 0.4735
O4 O 0.1696 0.3392 0.1126
O5 O 0.3317 0.1659 0.8414
O6 O 0.3363 0.1682 0.3537
O7 O 0.5018 0.0035 0.2334
O8 O 0.5094 0.0188 0.9666
```

Values from the calculation:
Uncorrected formation energy (kcal/mol of atoms): -68.28

(2)
BaTa6O16: optimized geometry, PBEsol.

Cell and atoms, written as CIF:
```
data_BaTa6O16
_chemical_formula_sum 'Ba2 Ta12 O32'
_symmetry_space_group_name_H-M 'A m m 2'
_symmetry_Int_Tables_number 38
_cell_length_a 3.8866
_cell_length_b 10.2926
_cell_length_c 15.0933
_cell_angle_alpha 90.00
_cell_angle_beta 90.00
_cell_angle_gamma 90.00
loop_
_symmetry_equiv_pos_as_xyz
'x,y,z'
'-x,-y,z'
'-x,y,z'
'x,-y,z'
'x,y+1/2,z+1/2'
'-x,-y+1/2,z+1/2'
'-x,y+1/2,z+1/2'
'x,-y+1/2,z+1/2'
loop_
_atom_site_label
_atom_site_type_symbol
_atom_site_fract_x
_atom_site_fract_y
_atom_site_fract_z
Ba1 Ba 0.0000 0.0000 0.0000
Ta1 Ta 0.5000 0.0000 0.5935
Ta2 Ta 0.5000 0.0000 0.8064
Ta3 Ta 0.5000 0.1849 0.4153
Ta4 Ta 0.5000 0.1860 0.1656
O1 O 0.0000 0.0000 0.5979
O2 O 0.0000 0.0000 0.8152
O3 O 0.0000 0.1760 0.1473
O4 O 0.0000 0.1906 0.4193
O5 O 0.5000 0.0000 0.1225
O6 O 0.5000 0.0000 0.4578
O7 O 0.5000 0.1230 0.7063
O8 O 0.5000 0.1269 0.9060
O9 O 0.5000 0.1512 0.2888
O10 O 0.5000 0.1975 0.5533
```

Values from the calculation:
Uncorrected formation energy (kcal/mol of atoms): -66.98

| no. | magnetization (μB per formula unit) | density (kg/m³) |
| --- | --- | --- |
| 1 | 0.001 | 8170 |
| 2 | 0.000 | 8135 |